This record from Alexandria via LeMat-Bulk describes TiMnFeNi after structural relaxation. The functional is PBE-GGA.

Geometry as CIF:
```
data_TiMnFeNi
_space_group_name_H-M_alt 'F -4 3 m'
_space_group_IT_number 216
_space_group_name_Hall 'F -4 2 3'
_cell_length_a 5.865
_cell_length_b 5.865
_cell_length_c 5.865
_cell_angle_alpha 90.00
_cell_angle_beta 90.00
_cell_angle_gamma 90.00
loop_
_atom_site_label
_atom_site_fract_x
_atom_site_fract_y
_atom_site_fract_z
Ti1 0.000 0.000 0.000
Mn1 0.000 0.000 0.500
Fe1 0.250 0.250 0.250
Ni1 0.250 0.250 0.750
```

Calculated values
total moment: 4.692 μB/f.u.
formation enthalpy at 0 K: -0.18 eV per atom